A plane-wave DFT calculation with PBE was carried out for a geometry-optimized CsNaPbO3 structure.

Calculated values
- SG = Cmcm (63)
- formation energy without anion corrections (eV per formula unit) = -7.5

Cell and atoms, written as CIF:
```
data_CsNaPbO3
_symmetry_space_group_name_H-M 'P 1'
_symmetry_Int_Tables_number 1
_cell_length_a 6.808
_cell_length_b 6.808
_cell_length_c 6.117
_cell_angle_alpha 90.00
_cell_angle_beta 90.00
_cell_angle_gamma 125.10
loop_
_symmetry_equiv_pos_as_xyz
'x,y,z'
loop_
_atom_site_label
_atom_site_type_symbol
_atom_site_fract_x
_atom_site_fract_y
_atom_site_fract_z
Cs1 Cs 0.237 0.763 0.750
Cs2 Cs 0.763 0.237 0.250
Na1 Na 0.075 0.925 0.250
Na2 Na 0.925 0.075 0.750
Pb1 Pb 0.441 0.559 0.250
Pb2 Pb 0.559 0.441 0.750
O1 O 0.270 0.270 0.000
O2 O 0.270 0.270 0.500
O3 O 0.271 0.729 0.250
O4 O 0.729 0.271 0.750
O5 O 0.730 0.730 0.000
O6 O 0.730 0.730 0.500
```